NdDy2WO8 | GGA+U | optimized geometry

Results
E_tot	-7.89	eV/atom
SG	P2/m, No. 10

Unit cell a=5.062 b=5.062 c=6.980 alpha=90.00 beta=90.00 gamma=90.49
Fractional coordinates of all 12 atoms:
W 0.000 0.000 0.000
O 0.681 0.683 0.500
O 0.276 0.275 0.000
O 0.184 0.815 0.206
O 0.319 0.317 0.500
O 0.724 0.725 0.000
O 0.184 0.815 0.794
O 0.816 0.185 0.206
O 0.816 0.185 0.794
Nd 0.000 0.000 0.500
Dy 0.500 0.500 0.758
Dy 0.500 0.500 0.242